# 1
First-principles (PBE) data for an optimized crystal structure of Pm2Pr2Pb3, as listed in Alexandria via LeMat-Bulk.

Properties
E_tot	-33.037	eV/cell
ΔE_f	-0.4074	eV/atom
SG	C2/m

Lattice parameters (Å, degrees): 5.501 9.581 5.496 106.59 120.03 90.00
Fractional coordinates of all 7 atoms:
Pm1 0.879 0.638 0.759
Pm2 0.121 0.362 0.241
Pb1 0.000 0.000 0.000
Pb2 0.760 0.283 0.521
Pb3 0.240 0.717 0.479
Pr1 0.626 0.877 0.252
Pr2 0.374 0.123 0.748


# 2
First-principles (PBE) data for an optimized crystal structure of Pm5PrPb6, as listed in Alexandria via LeMat-Bulk.

Properties
E_tot	-56.874	eV/cell
ΔE_f	-0.5076	eV/atom
SG	C2/m

Lattice parameters (Å, degrees): 10.510 5.066 8.078 71.73 81.33 61.26
Fractional coordinates of all 12 atoms:
Pm1 0.500 0.167 0.667
Pm2 0.500 0.500 0.000
Pm3 0.000 0.667 0.665
Pm4 0.500 0.833 0.333
Pm5 0.000 0.333 0.335
Pb1 0.251 0.249 0.000
Pb2 0.749 0.751 0.000
Pb3 0.749 0.418 0.665
Pb4 0.251 0.582 0.335
Pb5 0.251 0.916 0.665
Pb6 0.749 0.084 0.335
Pr1 0.000 0.000 0.000


# 3
First-principles (PBE) data for an optimized crystal structure of PmPr3Pb3, as listed in Alexandria via LeMat-Bulk.

Properties
E_tot	-64.594	eV/cell
ΔE_f	-0.2976	eV/atom
SG	C2/m

Lattice parameters (Å, degrees): 8.165 8.165 8.206 89.32 89.32 113.51
Fractional coordinates of all 14 atoms:
Pb1 0.951 0.951 0.202
Pb2 0.839 0.491 0.688
Pb3 0.491 0.839 0.688
Pb4 0.049 0.049 0.798
Pb5 0.161 0.509 0.312
Pb6 0.509 0.161 0.312
Pr1 0.367 0.367 0.630
Pr2 0.779 0.221 0.000
Pr3 0.155 0.845 0.500
Pr4 0.845 0.155 0.500
Pr5 0.633 0.633 0.370
Pr6 0.221 0.779 0.000
Pm1 0.292 0.292 0.083
Pm2 0.708 0.708 0.917


# 4
First-principles (PBE) data for an optimized crystal structure of Pm2Pr5Pb5, as listed in Alexandria via LeMat-Bulk.

Properties
E_tot	-56.726	eV/cell
ΔE_f	-0.3988	eV/atom
SG	C2/m

Lattice parameters (Å, degrees): 4.560 7.982 13.243 109.84 90.00 106.60
Last column: magnetic moment on the atom in μB.
Fractional coordinates of all 12 atoms:
Pb1 0.697 0.394 0.788  -0.01
Pb2 0.884 0.768 0.571  -0.01
Pb3 0.000 0.000 0.000  -0.02
Pb4 0.116 0.232 0.429  -0.01
Pb5 0.303 0.606 0.212  -0.01
Pr1 0.338 0.676 0.962  0.18
Pr2 0.277 0.555 0.658  0.02
Pr3 0.662 0.324 0.038  0.18
Pr4 0.723 0.445 0.342  0.02
Pr5 0.500 0.000 0.500  0.02
Pm1 0.052 0.103 0.787  0.06
Pm2 0.948 0.897 0.213  0.06


# 5
First-principles (PBE) data for an optimized crystal structure of PmPr3Pb, as listed in Alexandria via LeMat-Bulk.

Properties
E_tot	-94.715	eV/cell
ΔE_f	-0.1762	eV/atom
SG	P2_1/c

Lattice parameters (Å, degrees): 8.834 9.379 9.853 122.10 90.00 90.00
Fractional coordinates of all 20 atoms:
Pm1 0.436 0.282 0.212
Pm2 0.936 0.718 0.288
Pm3 0.064 0.282 0.712
Pm4 0.564 0.718 0.788
Pb1 0.251 0.906 0.953
Pb2 0.751 0.094 0.547
Pb3 0.749 0.094 0.047
Pb4 0.249 0.906 0.453
Pr1 0.424 0.079 0.789
Pr2 0.565 0.712 0.424
Pr3 0.699 0.407 0.955
Pr4 0.199 0.593 0.545
Pr5 0.076 0.079 0.289
Pr6 0.435 0.288 0.576
Pr7 0.801 0.407 0.455
Pr8 0.935 0.712 0.924
Pr9 0.301 0.593 0.045
Pr10 0.065 0.288 0.076
Pr11 0.576 0.921 0.211
Pr12 0.924 0.921 0.711


# 6
First-principles (PBE) data for an optimized crystal structure of Pm4PrPb4, as listed in Alexandria via LeMat-Bulk.

Properties
E_tot	-82.852	eV/cell
ΔE_f	-0.3123	eV/atom
SG	I4/m

Lattice parameters (Å, degrees): 6.387 10.075 10.075 90.00 90.00 90.00
Last column: magnetic moment on the atom in μB.
Fractional coordinates of all 18 atoms:
Pm1 0.000 0.204 0.600  0.03
Pm2 0.000 0.796 0.400  0.03
Pm3 0.000 0.400 0.204  0.03
Pm4 0.500 0.900 0.704  0.03
Pm5 0.000 0.600 0.796  0.03
Pm6 0.500 0.100 0.296  0.03
Pm7 0.500 0.296 0.900  0.03
Pm8 0.500 0.704 0.100  0.03
Pb1 0.500 0.599 0.801  0.00
Pb2 0.500 0.801 0.401  0.00
Pb3 0.000 0.901 0.699  0.00
Pb4 0.500 0.199 0.599  0.00
Pb5 0.000 0.099 0.301  0.00
Pb6 0.000 0.699 0.099  0.00
Pb7 0.500 0.401 0.199  0.00
Pb8 0.000 0.301 0.901  0.00
Pr1 0.500 0.500 0.500  0.07
Pr2 0.000 0.000 0.000  0.07


# 7
First-principles (PBE) data for an optimized crystal structure of PmPr4Pb, as listed in Alexandria via LeMat-Bulk.

Properties
E_tot	-51.350	eV/cell
ΔE_f	0.3170	eV/atom
SG	I4_1md

Lattice parameters (Å, degrees): 9.108 9.108 9.108 98.37 98.37 135.15
Fractional coordinates of all 12 atoms:
Pr1 0.239 0.969 0.730
Pr2 0.719 0.489 0.230
Pr3 0.221 0.982 0.239
Pr4 0.743 0.982 0.761
Pr5 0.732 0.993 0.261
Pr6 0.732 0.471 0.739
Pr7 0.259 0.489 0.770
Pr8 0.239 0.509 0.270
Pb1 0.774 0.774 0.000
Pb2 0.524 0.024 0.500
Pm1 0.283 0.283 0.000
Pm2 0.033 0.533 0.500


# 8
First-principles (PBE) data for an optimized crystal structure of PmPrPb, as listed in Alexandria via LeMat-Bulk.

Properties
E above lowest polymorph	0	meV/atom
E_tot	-29.170	eV/cell
ΔE_f	-0.4489	eV/atom
SG	P4/nmm

Lattice parameters (Å, degrees): 4.705 4.705 8.948 90.00 89.99 90.00
Fractional coordinates of all 6 atoms:
Pb1 0.250 0.750 0.780
Pb2 0.750 0.250 0.220
Pm1 0.250 0.250 0.500
Pm2 0.750 0.750 0.500
Pr1 0.250 0.750 0.152
Pr2 0.750 0.250 0.848


The lowest E_tot belongs to which entry? PmPr3Pb


Among the records above, which one has the lowest ΔE_f? Pm5PrPb6


Among the records above, which one has the highest ΔE_f? PmPr4Pb